# 1
## LiBeFe2 (PBE)

Data for a relaxed LiBeFe2 crystal.

## Properties
Calculated volume (Å³ per atom): 11.65
Space group: I-42d, No. 122
Formation energy from the elements (kJ/mol of formula units): 203

Cell and atoms, written as POSCAR:
```
LiBeFe2
1.0
-1.6733 1.6733 8.3246
1.6733 -1.6733 8.3246
1.6733 1.6733 -8.3246
Li Be Fe
2 2 4
direct
0.0000 0.0000 0.0000
0.7500 0.2500 0.5000
0.2500 0.7500 0.5000
0.5000 0.5000 0.0000
0.1386 0.1250 0.5136
0.3750 0.8614 0.9864
0.6114 0.6250 0.4864
0.8750 0.3886 0.0136
```



# 2
## ZnCrI2 (PBE)

Data for a relaxed ZnCrI2 crystal.

## Properties
Relative energy among the computed polymorphs (eV/f.u.): 0.00
Formation energy without anion corrections (eV/atom): 0.373
Calculated volume (Å³ per atom): 28.58
Space group: I-42d, No. 122

Cell and atoms, written as POSCAR:
```
ZnCrI2
1.0
-4.7333 4.7333 2.5510
4.7333 -4.7333 2.5510
4.7333 4.7333 -2.5510
Zn Cr I
2 2 4
direct
0.0000 0.0000 0.0000
0.7500 0.2500 0.5000
0.2500 0.7500 0.5000
0.5000 0.5000 0.0000
0.2806 0.6250 0.1556
0.3750 0.5306 0.6556
0.4694 0.1250 0.8444
0.8750 0.7194 0.3444
```



# 3
## FeRuRh4 (PBE)

Data for a relaxed FeRuRh4 crystal.

## Properties
Relative energy among the computed polymorphs (eV/f.u.): 2.73
Calculated volume (Å³ per atom): 15.14
Space group: F-43m, No. 216
Formation energy from the elements (kJ/mol of formula units): 276

Cell and atoms, written as POSCAR:
```
FeRuRh4
1.0
0.0000 3.5682 3.5682
3.5682 0.0000 3.5682
3.5682 3.5682 0.0000
Fe Ru Rh
1 1 4
direct
0.0000 0.0000 0.0000
0.2500 0.2500 0.2500
0.1249 0.6250 0.6250
0.6250 0.1249 0.6250
0.6250 0.6250 0.1249
0.6250 0.6250 0.6250
```



# 4
## ScMo3 (PBE)

Data for a relaxed ScMo3 crystal.

## Properties
Calculated volume (Å³ per atom): 17.31
Space group: P6_3/mmc, No. 194
Formation energy from the elements (kJ/mol of formula units): 158

Cell and atoms, written as POSCAR:
```
ScMo3
1.0
5.6732 0.0000 0.0000
-2.8366 4.9131 0.0000
0.0000 0.0000 4.9697
Sc Mo
2 6
direct
0.3333 0.6667 0.2500
0.6667 0.3333 0.7500
0.1584 0.3168 0.7500
0.1584 0.8416 0.7500
0.3168 0.1584 0.2500
0.6832 0.8416 0.7500
0.8416 0.1584 0.2500
0.8416 0.6832 0.2500
```



# 5
## Hf2CuPd2 (PBE)

Data for a relaxed Hf2CuPd2 crystal.

## Properties
Relative energy among the computed polymorphs (eV/f.u.): 1.07
Calculated volume (Å³ per atom): 18.73
Space group: P4/mbm, No. 127
Formation energy from the elements (kJ/mol of formula units): -114

Cell and atoms, written as POSCAR:
```
Hf2CuPd2
1.0
7.5139 0.0000 0.0000
0.0000 7.5139 0.0000
0.0000 0.0000 3.3172
Hf Cu Pd
4 2 4
direct
0.1649 0.3351 0.0000
0.3351 0.8351 0.0000
0.6649 0.1649 0.0000
0.8351 0.6649 0.0000
0.0000 0.0000 0.0000
0.5000 0.5000 0.0000
0.1325 0.6325 0.5000
0.3675 0.1325 0.5000
0.6325 0.8675 0.5000
0.8675 0.3675 0.5000
```



# 6
## TaFeHOs2 (PBE)

Data for a relaxed TaFeHOs2 crystal.

## Properties
Relative energy among the computed polymorphs (eV/f.u.): 0.47
Calculated volume (Å³ per atom): 12.06
Space group: P4/mmm, No. 123

Cell and atoms, written as POSCAR:
```
TaFeHOs2
1.0
3.8936 0.0000 0.0000
0.0000 3.8936 0.0000
0.0000 0.0000 3.9767
Ta Fe H Os
1 1 1 2
direct
0.0000 0.0000 0.0000
0.5000 0.5000 0.0000
0.0000 0.0000 0.5000
0.0000 0.5000 0.5000
0.5000 0.0000 0.5000
```



Number 1: D(E_F) 4.217 states/eV/f.u., total DFT energy (no corrections) -5.12 eV/atom. Number 2: D(E_F) 9.496 states/eV/f.u., total DFT energy (no corrections) -3.13 eV/atom. Number 3: D(E_F) 8.435 states/eV/f.u., total DFT energy (no corrections) -7.38 eV/atom. Number 4: D(E_F) 5.532 states/eV/f.u., total DFT energy (no corrections) -9.30 eV/atom. Number 5: D(E_F) 5.656 states/eV/f.u., total DFT energy (no corrections) -7.11 eV/atom. Number 6: D(E_F) 3.854 states/eV/f.u., total DFT energy (no corrections) -9.20 eV/atom.